# 1
LaFeGe3 (PBE-GGA, relaxed); space-group type = Pm-3m (221)
1.0
5.532 0.000 0.000
0.000 5.532 0.000
0.000 0.000 5.532
Ge Fe La
3 1 1
direct
0.000 0.500 0.000 Ge
0.000 0.000 0.500 Ge
0.500 0.000 0.000 Ge
0.500 0.500 0.500 Fe
0.000 0.000 0.000 La



# 2
LaFe3Ge3 (PBE-GGA, relaxed); space-group type = Pm-3n (223)
1.0
-5.899 1.871 -2.064
-2.138 -6.140 0.543
-1.787 1.167 6.165
Ge Fe La
6 6 2
direct
0.000 0.250 0.500 Ge
0.000 0.750 0.500 Ge
0.500 0.000 0.750 Ge
0.750 0.500 0.000 Ge
0.500 0.000 0.250 Ge
0.250 0.500 0.000 Ge
0.250 0.000 0.500 Fe
0.000 0.500 0.250 Fe
0.500 0.750 0.000 Fe
0.750 0.000 0.500 Fe
0.000 0.500 0.750 Fe
0.500 0.250 0.000 Fe
0.500 0.500 0.500 La
0.000 0.000 0.000 La



# 3
LaFe3Ge (PBE-GGA, relaxed); space-group type = Pm-3m (221); distance to the lowest polymorph of the same formula = 1.311 eV/atom
1.0
4.660 0.000 0.000
0.000 4.660 0.000
0.000 0.000 4.660
Ge Fe La
1 3 1
direct
0.500 0.500 0.500 Ge
0.000 0.500 0.000 Fe
0.000 0.000 0.500 Fe
0.500 0.000 0.000 Fe
0.000 0.000 0.000 La



# 4
LaFeGe3 (PBE-GGA, relaxed); space-group type = I4mm (107)
1.0
-5.157 2.581 -1.145
-4.140 -3.352 -2.490
3.623 -0.424 4.611
La Fe Ge
1 1 3
direct
0.565 0.565 0.000 La
0.231 0.231 0.000 Fe
0.322 0.822 0.500 Ge
0.004 0.004 0.000 Ge
0.822 0.322 0.500 Ge



# 5
La3Fe2Ge4 (PBE-GGA, relaxed); space-group type = C2/m (12)
1.0
-3.001 -0.215 3.048
-2.427 -1.157 -5.481
3.250 -7.152 2.695
La Fe Ge
3 2 4
direct
0.614 0.228 0.689 La
0.000 0.000 0.000 La
0.386 0.772 0.311 La
0.698 0.397 0.369 Fe
0.302 0.603 0.631 Fe
0.713 0.425 0.085 Ge
0.287 0.575 0.915 Ge
0.884 0.769 0.603 Ge
0.116 0.231 0.397 Ge



# 6
La2FeGe2 (PBE-GGA, relaxed); space-group type = P4/mbm (127)
1.0
6.861 0.000 0.000
0.000 6.861 0.000
0.000 0.000 4.742
Ge Fe La
4 2 4
direct
0.363 0.863 0.000 Ge
0.863 0.637 0.000 Ge
0.637 0.137 0.000 Ge
0.137 0.363 0.000 Ge
0.000 0.000 0.000 Fe
0.500 0.500 0.000 Fe
0.175 0.675 0.500 La
0.675 0.825 0.500 La
0.825 0.325 0.500 La
0.325 0.175 0.500 La



# 7
La3FeGe (PBE-GGA, relaxed); space-group type = I4/m (87); distance to the lowest polymorph of the same formula = 0.273 eV/atom
1.0
-0.911 -2.124 7.229
-7.335 1.945 0.011
2.840 -4.741 -5.201
La Fe Ge
6 2 2
direct
0.290 0.290 0.000 La
0.837 0.691 0.527 La
0.309 0.837 0.146 La
0.691 0.163 0.854 La
0.710 0.710 0.000 La
0.163 0.309 0.473 La
0.903 0.903 0.000 Fe
0.097 0.097 0.000 Fe
0.250 0.750 0.500 Ge
0.750 0.250 0.500 Ge



# 8
La2FeGe5 (PBE-GGA, relaxed); space-group type = I4mm (107)
1.0
6.099 0.000 0.000
0.000 6.099 0.000
-3.050 -3.050 4.655
La Fe Ge
2 1 5
direct
0.267 0.767 0.535 La
0.767 0.267 0.535 La
0.973 0.973 0.945 Fe
0.736 0.289 0.024 Ge
0.289 0.289 0.024 Ge
0.736 0.736 0.024 Ge
0.289 0.736 0.024 Ge
0.721 0.721 0.442 Ge



# 9
La3FeGe (PBE-GGA, relaxed); space-group type = Pm-3m (221); distance to the lowest polymorph of the same formula = 0.000 eV/atom
1.0
5.174 0.000 0.000
0.000 5.174 0.000
0.000 0.000 5.174
Ge Fe La
1 1 3
direct
0.500 0.500 0.500 Ge
0.000 0.000 0.000 Fe
0.000 0.500 0.000 La
0.000 0.000 0.500 La
0.500 0.000 0.000 La



# 10
LaFeGe3 (PBE-GGA, relaxed); space-group type = Pm-3m (221)
1.0
4.695 0.000 0.000
0.000 4.695 0.000
0.000 0.000 4.695
Ge Fe La
3 1 1
direct
0.000 0.500 0.000 Ge
0.000 0.000 0.500 Ge
0.500 0.000 0.000 Ge
0.000 0.000 0.000 Fe
0.500 0.500 0.500 La



# 11
La4FeGe (PBE-GGA, relaxed); space-group type = C2/c (15)
1.0
-3.172 -1.466 -5.252
6.385 -5.418 0.459
-5.543 -0.455 6.278
La Fe Ge
8 2 2
direct
0.830 0.666 0.789 La
0.081 0.932 0.305 La
0.670 0.211 0.334 La
0.419 0.695 0.068 La
0.581 0.305 0.932 La
0.330 0.789 0.666 La
0.919 0.068 0.695 La
0.170 0.334 0.211 La
0.250 0.991 0.009 Fe
0.750 0.009 0.991 Fe
0.750 0.625 0.375 Ge
0.250 0.375 0.625 Ge



# 12
La2FeGe3 (PBE-GGA, relaxed); space-group type = Fmmm (69)
1.0
5.780 0.746 -1.788
-1.176 5.708 -1.788
-0.538 -0.754 8.522
La Fe Ge
4 2 6
direct
0.250 0.750 0.500 La
0.754 0.754 0.000 La
0.750 0.250 0.500 La
0.246 0.246 0.000 La
0.334 0.334 0.667 Fe
0.666 0.666 0.333 Fe
0.651 0.176 0.827 Ge
0.824 0.349 0.173 Ge
0.349 0.824 0.173 Ge
0.176 0.651 0.827 Ge
0.826 0.826 0.653 Ge
0.174 0.174 0.347 Ge



no.,electronic total energy (eV/atom),DOS(E_F) (states/eV per atom),energy of formation (eV/atom)
1,-3.663,3.549,1.7857
2,-6.222,0.869,0.0872
3,-5.297,1.950,1.6900
4,-5.985,0.518,-0.5368
5,-6.164,0.925,-0.5892
6,-5.885,0.799,-0.3750
7,-5.552,0.814,0.0201
8,-5.607,0.604,-0.4319
9,-5.826,0.511,-0.2534
10,-5.673,0.867,-0.2247
11,-5.731,1.113,-0.2664
12,-5.989,0.615,-0.6279